Material: LiCaAu
Method: DFT, meta-GGA SCAN
State: single point on PBEsol structure

## Properties
* calculated formation energy: -665 meV per atom

Unit cell a=4.4252 b=4.4252 c=3.8873 alpha=90.00 beta=90.00 gamma=120.00
Space group P-6m2 (No. 187)
Unique sites:
Li1 0.0000 0.0000 0.0000
Ca1 0.6667 0.3333 0.5000
Au1 0.3333 0.6667 0.0000